Record 1
Cr4Fe5 | meta-GGA SCAN | PBEsol geometry

Geometry as CIF:
```
data_Cr4Fe5
_chemical_formula_sum 'Cr8 Fe10'
_cell_length_a 8.298
_cell_length_b 8.298
_cell_length_c 2.836
_cell_angle_alpha 90.00
_cell_angle_beta 90.00
_cell_angle_gamma 90.00
_symmetry_space_group_name_H-M 'I 4/m m m'
_symmetry_Int_Tables_number 139
_symmetry_space_group_name_Hall '-I 4 2'
loop_
_atom_site_label
_atom_site_type_symbol
_atom_site_fract_x
_atom_site_fract_y
_atom_site_fract_z
Cr1 Cr 0.000 0.336 0.000
Fe1 Fe 0.000 0.000 0.000
Fe2 Fe 0.166 0.166 0.500
```

Mass density = 8.3 Mg/m³
Formation energy from the elements = 0.06 eV/atom
Fermi-level density of states = 6.0 states/eV/f.u.
Total energy = -18.18 eV per atom

---

Record 2
CrFe | meta-GGA SCAN | PBEsol geometry

Geometry as CIF:
```
data_CrFe
_chemical_formula_sum 'Cr2 Fe2'
_cell_length_a 2.4572
_cell_length_b 2.4572
_cell_length_c 8.0527
_cell_angle_alpha 90.00
_cell_angle_beta 90.00
_cell_angle_gamma 120.00
_symmetry_space_group_name_H-M 'P -3 m 1'
_symmetry_Int_Tables_number 164
_symmetry_space_group_name_Hall '-P 3 2"'
loop_
_atom_site_label
_atom_site_type_symbol
_atom_site_fract_x
_atom_site_fract_y
_atom_site_fract_z
Cr1 Cr 0.3333 0.6667 0.3637
Fe1 Fe 0.3333 0.6667 0.8793
```

Mass density = 8.5 Mg/m³
Formation energy from the elements = 0.42 eV/atom
Fermi-level density of states = 2.0 states/eV/f.u.
Total energy = -17.83 eV per atom

---

Record 3
CrFe5 | meta-GGA SCAN | PBEsol geometry

Geometry as CIF:
```
data_CrFe5
_chemical_formula_sum 'Cr2 Fe10'
_cell_length_a 3.868
_cell_length_b 2.442
_cell_length_c 12.697
_cell_angle_alpha 90.00
_cell_angle_beta 90.00
_cell_angle_gamma 90.00
_symmetry_space_group_name_H-M 'A m m 2'
_symmetry_Int_Tables_number 38
loop_
_symmetry_equiv_pos_as_xyz
'x,y,z'
'-x,-y,z'
'-x,y,z'
'x,-y,z'
'x,y+1/2,z+1/2'
'-x,-y+1/2,z+1/2'
'-x,y+1/2,z+1/2'
'x,-y+1/2,z+1/2'
loop_
_atom_site_label
_atom_site_type_symbol
_atom_site_fract_x
_atom_site_fract_y
_atom_site_fract_z
Cr1 Cr 0.000 0.000 0.000
Fe1 Fe 0.000 0.000 0.330
Fe2 Fe 0.000 0.000 0.667
Fe3 Fe 0.500 0.000 0.111
Fe4 Fe 0.500 0.000 0.442
Fe5 Fe 0.500 0.000 0.778
```

Mass density = 9.2 Mg/m³
Formation energy from the elements = 0.30 eV/atom
Fermi-level density of states = 5.2 states/eV/f.u.
Total energy = -17.87 eV per atom

---

Record 4
CrFe | meta-GGA SCAN | PBEsol geometry

Geometry as CIF:
```
data_CrFe
_chemical_formula_sum 'Cr4 Fe4'
_cell_length_a 2.815
_cell_length_b 3.970
_cell_length_c 7.767
_cell_angle_alpha 90.00
_cell_angle_beta 90.00
_cell_angle_gamma 90.00
_symmetry_space_group_name_H-M 'I m m a'
_symmetry_Int_Tables_number 74
_symmetry_space_group_name_Hall '-I 2b 2'
loop_
_atom_site_label
_atom_site_type_symbol
_atom_site_fract_x
_atom_site_fract_y
_atom_site_fract_z
Cr1 Cr 0.000 0.250 0.133
Fe1 Fe 0.000 0.250 0.620
```

Mass density = 8.3 Mg/m³
Formation energy from the elements = 0.15 eV/atom
Fermi-level density of states = 1.8 states/eV/f.u.
Total energy = -18.10 eV per atom